[1]
First-principles (PBE) data for crystalline CdPI at its relaxed geometry, as listed in the Alexandria database.

Unit cell a=3.7364 b=7.4558 c=8.2882 alpha=114.42 beta=90.06 gamma=104.10
Last column: nearest neighbours and their distance in Å.
Fractional coordinates of all 6 atoms:
Cd1 0.1857 0.3671 0.1441  1 P 2.51
Cd2 0.8143 0.6329 0.8559  1 P 2.51
P1 0.1954 0.3877 0.4542  2 P 2.38, 1 Cd 2.51
P2 0.8046 0.6123 0.5458  2 P 2.38, 1 Cd 2.51
I1 0.3966 0.7999 0.1564  3 Cd 2.93-3.09
I2 0.6034 0.2001 0.8436  3 Cd 2.93-3.09

Values from the calculation:
The calculation puts the total magnetization at 0.000 μB per formula unit. The energy above the most stable polymorph in this dataset is 0.00 eV per formula unit. The value obtained for the formation energy (no corrections) is -0.4 eV/f.u. As for the symmetry: P-1, No. 2.

[2]
First-principles (PBE) data for crystalline Cd3PI at its relaxed geometry, as listed in the Alexandria database.

Unit cell a=5.7507 b=5.7507 c=5.7507 alpha=90.00 beta=90.00 gamma=90.00
Last column: nearest neighbours and their distance in Å.
Fractional coordinates of all 5 atoms:
Cd1 0.0000 0.0000 0.5000  2 I 2.88
Cd2 0.0000 0.5000 0.0000  2 I 2.88
Cd3 0.5000 0.0000 0.0000  2 I 2.88
P1 0.5000 0.5000 0.5000  12 Cd 4.07
I1 0.0000 0.0000 0.0000  6 Cd 2.88

Values from the calculation:
The calculation puts the total magnetization at 0.000 μB per formula unit. The energy above the most stable polymorph in this dataset is 5.11 eV per formula unit. The value obtained for the formation energy (no corrections) is 5.1 eV/f.u. As for the symmetry: Pm-3m, No. 221. The calculation puts the density of states at the Fermi level at 1.97 states/eV/f.u.

[3]
First-principles (PBE) data for crystalline Cd3PI at its relaxed geometry, as listed in the Alexandria database.

Unit cell a=5.3028 b=5.3028 c=5.3028 alpha=90.00 beta=90.00 gamma=90.00
Last column: nearest neighbours and their distance in Å.
Fractional coordinates of all 5 atoms:
Cd1 0.0000 0.0000 0.5000  2 P 2.65
Cd2 0.0000 0.5000 0.0000  2 P 2.65
Cd3 0.5000 0.0000 0.0000  2 P 2.65
P1 0.0000 0.0000 0.0000  6 Cd 2.65
I1 0.5000 0.5000 0.5000  12 Cd 3.75

Values from the calculation:
The calculation puts the total magnetization at 0.000 μB per formula unit. The energy above the most stable polymorph in this dataset is 0.00 eV per formula unit. The value obtained for the formation energy (no corrections) is 0.0 eV/f.u. As for the symmetry: Pm-3m, No. 221. The calculation puts the density of states at the Fermi level at 1.47 states/eV/f.u.

[4]
First-principles (PBE) data for crystalline Cd2P3I at its relaxed geometry, as listed in the Alexandria database.

Unit cell a=6.2976 b=6.2976 c=7.6213 alpha=96.33 beta=96.33 gamma=96.65
Last column: nearest neighbours and their distance in Å.
Fractional coordinates of all 12 atoms:
Cd1 0.1054 0.3935 0.2201  3 P 2.62-2.68
Cd2 0.3935 0.1054 0.7201  3 P 2.62-2.68
Cd3 0.6065 0.8946 0.2799  3 P 2.62-2.68
Cd4 0.8946 0.6065 0.7799  3 P 2.62-2.68
P1 0.3059 0.6941 0.7500  2 P 2.22
P2 0.3443 0.4349 0.5385  2 P 2.20-2.22
P3 0.4349 0.3443 0.0385  2 P 2.20-2.22
P4 0.5651 0.6557 0.9615  2 P 2.20-2.22
P5 0.6557 0.5651 0.4615  2 P 2.20-2.22
P6 0.6941 0.3059 0.2500  2 P 2.22
I1 0.1194 0.8806 0.2500  4 Cd 3.04-3.27
I2 0.8806 0.1194 0.7500  4 Cd 3.04-3.27

Values from the calculation:
The calculation puts the total magnetization at 0.000 μB per formula unit. The value obtained for the formation energy (no corrections) is -1.3 eV/f.u. As for the symmetry: C2/c, No. 15.

[5]
First-principles (PBE) data for crystalline CdPI at its relaxed geometry, as listed in the Alexandria database.

Unit cell a=4.4379 b=4.4379 c=5.8440 alpha=90.00 beta=90.00 gamma=120.00
Last column: nearest neighbours and their distance in Å.
Fractional coordinates of all 3 atoms:
Cd1 0.0000 0.0000 0.0000  3 P 2.58
P1 0.3333 0.6667 0.0474  1 I 2.56, 3 Cd 2.58
I1 0.3333 0.6667 0.4862  1 P 2.56

Values from the calculation:
The calculation puts the total magnetization at 0.000 μB per formula unit. The energy above the most stable polymorph in this dataset is 0.44 eV per formula unit. The value obtained for the formation energy (no corrections) is 0.1 eV/f.u. As for the symmetry: P3m1, No. 156. The calculation puts the density of states at the Fermi level at 0.69 states/eV/f.u.

[6]
First-principles (PBE) data for crystalline CdP3I at its relaxed geometry, as listed in the Alexandria database.

Unit cell a=5.0268 b=5.0268 c=5.0268 alpha=90.00 beta=90.00 gamma=90.00
Last column: nearest neighbours and their distance in Å.
Fractional coordinates of all 5 atoms:
Cd1 0.0000 0.0000 0.0000  6 P 2.51
P1 0.0000 0.0000 0.5000  2 Cd 2.51
P2 0.0000 0.5000 0.0000  2 Cd 2.51
P3 0.5000 0.0000 0.0000  2 Cd 2.51
I1 0.5000 0.5000 0.5000  12 P 3.55

Values from the calculation:
The calculation puts the total magnetization at 0.000 μB per formula unit. The energy above the most stable polymorph in this dataset is 0.00 eV per formula unit. The value obtained for the formation energy (no corrections) is 6.5 eV/f.u. As for the symmetry: Pm-3m, No. 221. The calculation puts the density of states at the Fermi level at 5.16 states/eV/f.u.

[7]
First-principles (PBE) data for crystalline RbCd2PI at its relaxed geometry, as listed in the Alexandria database.

Unit cell a=5.3113 b=5.3113 c=6.4958 alpha=90.00 beta=90.00 gamma=90.00
Last column: nearest neighbours and their distance in Å.
Fractional coordinates of all 5 atoms:
Rb1 0.0000 0.0000 0.0000  4 I 3.76, 8 Cd 4.20
Cd1 0.0000 0.5000 0.5000  2 P 2.66
Cd2 0.5000 0.0000 0.5000  2 P 2.66
P1 0.5000 0.5000 0.5000  4 Cd 2.66
I1 0.5000 0.5000 0.0000  2 P 3.25

Values from the calculation:
The calculation puts the total magnetization at 0.000 μB per formula unit. The value obtained for the formation energy (no corrections) is -0.6 eV/f.u. As for the symmetry: P4/mmm, No. 123. The calculation puts the density of states at the Fermi level at 2.08 states/eV/f.u.

[8]
First-principles (PBE) data for crystalline Rb2CdPI6 at its relaxed geometry, as listed in the Alexandria database.

Unit cell a=8.3320 b=8.3320 c=8.3320 alpha=119.92 beta=119.92 gamma=90.15
Last column: nearest neighbours and their distance in Å.
Fractional coordinates of all 10 atoms:
Rb1 0.2500 0.7500 0.5000  12 I 4.17
Rb2 0.7500 0.2500 0.5000  12 I 4.17
Cd1 0.0000 0.0000 0.0000  6 I 3.04-3.06
P1 0.5000 0.5000 0.0000  6 I 2.84
I1 0.2585 0.2585 0.0000  1 P 2.84, 1 Cd 3.04
I2 0.2595 0.2595 0.5190  1 P 2.84, 1 Cd 3.06
I3 0.2595 0.7405 0.0000  1 P 2.84, 1 Cd 3.06
I4 0.7405 0.2595 0.0000  1 P 2.84, 1 Cd 3.06
I5 0.7405 0.7405 0.4810  1 P 2.84, 1 Cd 3.06
I6 0.7415 0.7415 0.0000  1 P 2.84, 1 Cd 3.04

Values from the calculation:
The calculation puts the total magnetization at 0.000 μB per formula unit. The value obtained for the formation energy (no corrections) is -6.6 eV/f.u. As for the symmetry: I4/mmm, No. 139. The calculation puts the density of states at the Fermi level at 2.82 states/eV/f.u.